The following is a GGA-PBEsol calculation of a relaxed ScNi4Rh crystal, from the Alexandria database.

Computed properties:
- Space-group type: F-43m, No. 216
- Raw total energy: -6.872 eV/atom
- ΔE_f: -0.309 eV per atom
- N(E_F): 10.35 states/eV/cell
- Crystal system: cubic

abc: 4.701 4.701 4.701
angles: 60.00 60.00 60.00
Sites, in units of the cell vectors:
Sc 0.000 0.000 0.000
Ni 0.376 0.376 0.376
Ni 0.376 0.376 0.873
Ni 0.376 0.873 0.376
Ni 0.873 0.376 0.376
Rh 0.750 0.750 0.750